Entry from Alexandria via LeMat-Bulk: an optimized crystal structure of CsPd (PBE).

Cell: 9.4547 9.4547 5.6213 Å, 90.00 90.00 120.00°
Closest atoms and distances in Å follow each position.
Space group P6_3/mmc (No. 194)
Asymmetric unit:
Cs 0.1882 0.3765 0.2500 x6  6 Pd 3.39-3.51
Pd 0.1402 0.5701 0.7500 x6  2 Pd 2.74

M_tot (μB/f.u.): 0.0
Formation energy (eV/atom): 0.20
VASP energy (eV per cell): -33.9

Entry from Alexandria via LeMat-Bulk: an optimized crystal structure of CsPd (PBE).

Cell: 5.4610 11.5521 4.8415 Å, 90.00 90.00 90.00°
Closest atoms and distances in Å follow each position.
Space group Cmcm (No. 63)
Asymmetric unit:
Cs 0.0000 0.1488 0.2500 x4  7 Pd 3.49-3.86
Pd 0.0000 0.4609 0.2500 x4  2 Pd 2.58

M_tot (μB/f.u.): 0.0
Formation energy (eV/atom): 0.07
VASP energy (eV per cell): -23.6

Entry from Alexandria via LeMat-Bulk: an optimized crystal structure of CsPd (PBE).

Cell: 5.8542 5.8542 6.3368 Å, 90.00 90.00 120.00°
Closest atoms and distances in Å follow each position.
Space group P6_3/mmc (No. 194)
Asymmetric unit:
Cs 0.3333 0.6667 0.2500 x2  5 Pd 3.17-3.38
Pd 0.3333 0.6667 0.7500 x2  5 Cs 3.17-3.38

M_tot (μB/f.u.): 0.0
Formation energy (eV/atom): 0.64
VASP energy (eV per cell): -9.5

Entry from Alexandria via LeMat-Bulk: an optimized crystal structure of CsPd (PBE).

Cell: 12.6213 12.6213 4.7938 Å, 90.00 90.00 90.00°
Closest atoms and distances in Å follow each position.
Space group I4/mmm (No. 139)
Asymmetric unit:
Cs 0.0000 0.2512 0.0000 x8  6 Pd 3.50-3.72
Pd 0.2236 0.2236 0.5000 x8  2 Pd 2.57

M_tot (μB/f.u.): 0.0
Formation energy (eV/atom): 0.12
VASP energy (eV per cell): -46.4

Entry from Alexandria via LeMat-Bulk: an optimized crystal structure of CsPd (PBE).

Cell: 9.0322 9.0322 9.0322 Å, 90.00 90.00 90.00°
Closest atoms and distances in Å follow each position.
Space group Pm-3n (No. 223)
Asymmetric unit:
Cs 0.0000 0.2500 0.5000 x6  4 Pd 3.19
Pd 0.0000 0.5000 0.2500 x6  4 Cs 3.19

M_tot (μB/f.u.): 0.0
Formation energy (eV/atom): 0.70
VASP energy (eV per cell): -27.9

Entry from Alexandria via LeMat-Bulk: an optimized crystal structure of CsPd2 (PBE).

Cell: 3.6791 3.6791 12.1696 Å, 90.00 90.00 90.00°
Closest atoms and distances in Å follow each position.
Space group I4/mmm (No. 139)
Asymmetric unit:
Cs 0.0000 0.0000 0.0000 x2  2 Pd 3.32, 4 Cs 3.68
Pd 0.0000 0.0000 0.2728 x4  4 Pd 2.66

M_tot (μB/f.u.): 0.0
Formation energy (eV/atom): 0.18
VASP energy (eV per cell): -21.4

Entry from Alexandria via LeMat-Bulk: an optimized crystal structure of CsPd (PBE).

Cell: 7.3959 7.3959 6.4549 Å, 90.00 90.00 90.00°
Closest atoms and distances in Å follow each position.
Space group P4_2/mnm (No. 136)
Asymmetric unit:
Cs 0.1948 0.1948 0.0000 x4  4 Pd 3.31-3.45
Pd 0.1244 0.1244 0.5000 x4  1 Pd 2.60

M_tot (μB/f.u.): 0.0
Formation energy (eV/atom): 0.35
VASP energy (eV per cell): -21.4

Entry from Alexandria via LeMat-Bulk: an optimized crystal structure of CsPd (PBE).

Cell: 6.6305 10.3223 15.9298 Å, 90.00 90.00 90.00°
Closest atoms and distances in Å follow each position.
Space group Fddd (No. 70, origin choice 2)
Asymmetric unit:
Cs 0.1250 0.2995 0.1250 x16  4 Pd 3.23-3.61, 1 Cs 3.60
Pd 0.1250 0.1250 0.5422 x16  1 Pd 2.64

M_tot (μB/f.u.): 0.0
Formation energy (eV/atom): 0.24
VASP energy (eV per cell): -89.0

Entry from Alexandria via LeMat-Bulk: an optimized crystal structure of CsPd (PBE).

Cell: 9.4971 9.4971 9.4971 Å, 90.00 90.00 90.00°
Closest atoms and distances in Å follow each position.
Space group I-43m (No. 217)
Asymmetric unit:
Cs 0.2194 0.2194 0.7806 x8  1 Pd 2.94
Pd 0.1020 0.1020 0.1020 x8  3 Pd 2.74, 1 Cs 2.94

M_tot (μB/f.u.): 0.0
Formation energy (eV/atom): 0.25
VASP energy (eV per cell): -44.4

Entry from Alexandria via LeMat-Bulk: an optimized crystal structure of CsPd (PBE).

Cell: 6.6985 6.6985 6.6985 Å, 90.00 90.00 90.00°
Closest atoms and distances in Å follow each position.
Space group Fm-3m (No. 225)
Asymmetric unit:
Cs 0.0000 0.0000 0.0000 x4  6 Pd 3.35
Pd 0.0000 0.0000 0.5000 x4  6 Cs 3.35

M_tot (μB/f.u.): 0.0
Formation energy (eV/atom): 0.57
VASP energy (eV per cell): -19.6

Entry from Alexandria via LeMat-Bulk: an optimized crystal structure of CsPd (PBE).

Cell: 7.1070 8.4626 10.3450 Å, 90.00 90.00 90.00°
Closest atoms and distances in Å follow each position.
Space group P2_12_12_1 (No. 19)
Asymmetric unit:
Cs 0.1062 0.1167 0.4928 x4  5 Pd 3.31-3.69
Cs 0.1468 0.6604 0.6222 x4  4 Pd 3.37-3.76
Pd 0.0195 0.9645 0.2039 x4  2 Pd 2.60-2.61
Pd 0.1947 0.7131 0.2864 x4  2 Pd 2.60-2.61

M_tot (μB/f.u.): 0.0
Formation energy (eV/atom): 0.12
VASP energy (eV per cell): -46.4

Entry from Alexandria via LeMat-Bulk: an optimized crystal structure of CsPd (PBE).

Cell: 7.2933 7.2933 7.2933 Å, 90.00 90.00 90.00°
Closest atoms and distances in Å follow each position.
Space group F-43m (No. 216)
Asymmetric unit:
Cs 0.0000 0.0000 0.0000 x4  4 Pd 3.16
Pd 0.2500 0.2500 0.2500 x4  4 Cs 3.16

M_tot (μB/f.u.): 0.0
Formation energy (eV/atom): 0.68
VASP energy (eV per cell): -18.7